## LiPuGaCu (PBE)

Data for LiPuGaCu after structural relaxation.

Summary:
magnetic moment: 20.71 μB/cell
uncorrected energy: -5.898 eV per atom
formation energy: -0.055 eV/atom

a = 6.5436 Å, b = 6.5436 Å, c = 6.5436 Å
α = 90.00°, β = 90.00°, γ = 90.00°
With the nearest neighbours (Å) after each atom.
Space group F-43m (No. 216)
Asymmetric unit:
Li: 0.0000 0.0000 0.0000  4 Pu 2.83, 4 Ga 2.83
Pu: 0.2500 0.2500 0.2500  4 Li 2.83, 4 Cu 2.83
Ga: 0.2500 0.2500 0.7500  4 Li 2.83, 4 Cu 2.83
Cu: 0.0000 0.0000 0.5000  4 Pu 2.83, 4 Ga 2.83


## LiPu2Ga3Cu4 (PBE)

Data for LiPu2Ga3Cu4 after structural relaxation.

Summary:
magnetic moment: 11.41 μB/cell
uncorrected energy: -5.766 eV per atom
formation energy: -0.162 eV/atom

a = 4.0445 Å, b = 4.0445 Å, c = 10.7415 Å
α = 90.00°, β = 90.00°, γ = 90.00°
With the nearest neighbours (Å) after each atom.
Space group P-4m2 (No. 115)
Asymmetric unit:
Li: 0.0000 0.0000 0.0000  4 Cu 2.52
Pu: 0.0000 0.5000 0.7455  6 Ga 3.11-3.40, 8 Cu 3.12-3.32, 2 Li 3.40
Ga: 0.0000 0.5000 0.3679  5 Cu 2.45-2.47
Ga: 0.5000 0.5000 0.0000  4 Cu 2.52
Cu: 0.0000 0.0000 0.5000  4 Ga 2.47
Cu: 0.0000 0.5000 0.1395  3 Ga 2.45-2.52, 2 Li 2.52
Cu: 0.5000 0.5000 0.5000  4 Ga 2.47


## LiGa2Cu7Si2 (PBE)

Data for LiGa2Cu7Si2 after structural relaxation.

Summary:
formation energy without anion corrections: 0.12 eV/f.u.
magnetic moment: 0.00 μB/cell
uncorrected energy: -3.947 eV per atom

a = 5.4905 Å, b = 5.8461 Å, c = 10.1825 Å
α = 90.00°, β = 90.29°, γ = 90.00°
With the nearest neighbours (Å) after each atom.
Space group C2/m (No. 12)
Asymmetric unit:
Li: 0.0000 0.0000 0.0000  10 Cu 2.53-2.75
Ga: 0.0012 0.0000 0.3088  6 Cu 2.45-2.57, 1 Si 2.74
Cu: 0.0000 0.5000 0.0000  8 Cu 2.52-2.53, 2 Li 2.75
Cu: 0.2272 0.5000 0.4993  2 Si 2.44-2.46, 2 Ga 2.45-2.46, 1 Cu 2.49
Cu: 0.2489 0.2491 0.8488  2 Si 2.46-2.47, 4 Cu 2.52-2.75, 2 Li 2.53, 2 Ga 2.56-2.57
Si: 0.0006 0.5000 0.7073  6 Cu 2.44-2.47


## Li2Ga2Cu7Si (PBE)

Data for Li2Ga2Cu7Si after structural relaxation.

Summary:
formation energy without anion corrections: -0.54 eV/f.u.
magnetic moment: 0.00 μB/cell
uncorrected energy: -3.710 eV per atom

a = 5.2018 Å, b = 5.1373 Å, c = 11.8257 Å
α = 90.00°, β = 90.33°, γ = 90.00°
With the nearest neighbours (Å) after each atom.
Space group C2/m (No. 12)
Asymmetric unit:
Li: 0.0012 0.0000 0.3171  6 Cu 2.55-2.68, 4 Ga 2.57-2.60
Ga: 0.0012 0.5000 0.3090  6 Cu 2.56-2.61, 4 Li 2.57-2.60
Cu: 0.0000 0.0000 0.0000  8 Cu 2.56, 4 Si 2.57-2.60
Cu: 0.2361 0.5000 0.4997  4 Cu 2.46-2.75, 2 Li 2.55-2.57, 2 Ga 2.56-2.58
Cu: 0.2504 0.2501 0.1517  2 Si 2.56-2.57, 6 Cu 2.56-2.60, 2 Ga 2.61, 2 Li 2.67-2.68
Si: 0.0000 0.5000 0.0000  12 Cu 2.56-2.60


## LiSmGa4Cu2 (PBE)

Data for LiSmGa4Cu2 after structural relaxation.

Summary:
magnetic moment: 0.00 μB/cell
uncorrected energy: -3.710 eV per atom
formation energy: -0.344 eV/atom

a = 4.2234 Å, b = 4.2234 Å, c = 26.1580 Å
α = 90.00°, β = 90.00°, γ = 120.00°
With the nearest neighbours (Å) after each atom.
Space group R-3m (No. 166, hexagonal axes)
Asymmetric unit:
Li: 0.0000 0.0000 0.0000  8 Ga 2.59-2.66
Sm: 0.0000 0.0000 0.5000  8 Ga 3.01-3.30
Ga: 0.0000 0.0000 0.0991  1 Li 2.59, 3 Cu 2.60, 3 Ga 2.88
Ga: 0.0000 0.0000 0.3737  4 Cu 2.52-2.74, 3 Li 2.66
Cu: 0.0000 0.0000 0.2691  7 Ga 2.52-2.74


## LiSmGaCu (PBE)

Data for LiSmGaCu after structural relaxation.

Summary:
magnetic moment: 0.00 μB/cell
uncorrected energy: -3.792 eV per atom
formation energy: -0.353 eV/atom

a = 6.5629 Å, b = 6.5629 Å, c = 6.5629 Å
α = 90.00°, β = 90.00°, γ = 90.00°
With the nearest neighbours (Å) after each atom.
Space group F-43m (No. 216)
Asymmetric unit:
Li: 0.0000 0.0000 0.0000  4 Ga 2.84, 4 Sm 2.84
Sm: 0.2500 0.2500 0.2500  4 Li 2.84, 4 Cu 2.84
Ga: 0.2500 0.2500 0.7500  4 Cu 2.84, 4 Li 2.84
Cu: 0.0000 0.0000 0.5000  4 Sm 2.84, 4 Ga 2.84


## LiSm2GaCu6 (PBE)

Data for LiSm2GaCu6 after structural relaxation.

Summary:
magnetic moment: 0.00 μB/cell
uncorrected energy: -3.975 eV per atom
formation energy: -0.079 eV/atom

a = 6.1437 Å, b = 6.1918 Å, c = 6.2647 Å
α = 60.84°, β = 61.74°, γ = 60.62°
With the nearest neighbours (Å) after each atom.
Space group P-1 (No. 2)
Asymmetric unit:
Li: 0.0000 0.0000 0.0000  6 Cu 2.32-2.35
Sm: 0.1976 0.2030 0.4015  6 Cu 2.97-3.08, 1 Li 3.12
Ga: 0.5000 0.5000 0.5000  6 Cu 2.48-2.49
Cu: 0.1588 0.3288 0.8831  1 Li 2.34, 1 Ga 2.49, 5 Cu 2.53-2.59
Cu: 0.3248 0.6289 0.8849  1 Li 2.35, 1 Ga 2.49, 5 Cu 2.53-2.57
Cu: 0.3752 0.8406 0.1120  1 Li 2.32, 1 Ga 2.48, 5 Cu 2.53-2.57


## LiSm2Ga3Cu4 (PBE)

Data for LiSm2Ga3Cu4 after structural relaxation.

Summary:
magnetic moment: 0.00 μB/cell
uncorrected energy: -4.043 eV per atom
formation energy: -0.361 eV/atom

a = 4.1902 Å, b = 4.1902 Å, c = 10.1608 Å
α = 90.00°, β = 90.00°, γ = 90.00°
With the nearest neighbours (Å) after each atom.
Space group P-4m2 (No. 115)
Asymmetric unit:
Li: 0.0000 0.0000 0.0000  4 Cu 2.50
Sm: 0.0000 0.5000 0.7367  6 Ga 3.16-3.40, 8 Cu 3.19-3.24, 2 Li 3.40
Ga: 0.0000 0.5000 0.3705  5 Cu 2.41-2.47
Ga: 0.5000 0.5000 0.0000  4 Cu 2.50
Cu: 0.0000 0.0000 0.5000  4 Ga 2.47
Cu: 0.0000 0.5000 0.1335  3 Ga 2.41-2.50, 2 Li 2.50
Cu: 0.5000 0.5000 0.5000  4 Ga 2.47


## SrLi2GaCu (PBE)

Data for SrLi2GaCu after structural relaxation.

Summary:
magnetic moment: 0.00 μB/cell
uncorrected energy: -2.634 eV per atom
excess energy over the best structure of this formula in the dataset: 0.00 eV/f.u.
formation energy: -0.108 eV/atom

a = 4.9013 Å, b = 4.9013 Å, c = 4.6773 Å
α = 90.00°, β = 90.00°, γ = 90.00°
With the nearest neighbours (Å) after each atom.
Space group P4/mmm (No. 123)
Asymmetric unit:
Sr: 0.0000 0.0000 0.0000  8 Li 3.39, 4 Ga 3.47
Li: 0.0000 0.5000 0.5000  2 Cu 2.45
Ga: 0.5000 0.5000 0.0000  2 Cu 2.34
Cu: 0.5000 0.5000 0.5000  2 Ga 2.34, 4 Li 2.45


## Sr2LiGa3Cu4 (PBE)

Data for Sr2LiGa3Cu4 after structural relaxation.

Summary:
magnetic moment: 0.00 μB/cell
uncorrected energy: -3.319 eV per atom
formation energy: -0.245 eV/atom

a = 4.3549 Å, b = 4.3549 Å, c = 10.3038 Å
α = 90.00°, β = 90.00°, γ = 90.00°
With the nearest neighbours (Å) after each atom.
Space group P-4m2 (No. 115)
Asymmetric unit:
Sr: 0.0000 0.5000 0.2442  8 Cu 3.33, 6 Ga 3.34-3.42, 2 Li 3.42
Li: 0.0000 0.0000 0.5000  4 Cu 2.58
Ga: 0.0000 0.5000 0.8802  5 Cu 2.50-2.54
Ga: 0.5000 0.5000 0.5000  4 Cu 2.58
Cu: 0.0000 0.0000 0.0000  4 Ga 2.50
Cu: 0.0000 0.5000 0.6340  3 Ga 2.54-2.58, 2 Li 2.58
Cu: 0.5000 0.5000 0.0000  4 Ga 2.50


## SrLiGa3Cu (PBE)

Data for SrLiGa3Cu after structural relaxation.

Summary:
magnetic moment: 0.00 μB/cell
uncorrected energy: -3.001 eV per atom
formation energy: -0.205 eV/atom

a = 6.0625 Å, b = 13.1144 Å, c = 6.2478 Å
α = 90.00°, β = 90.00°, γ = 90.00°
With the nearest neighbours (Å) after each atom.
Space group Cmcm (No. 63)
Asymmetric unit:
Sr: 0.0000 0.2166 0.2500  1 Cu 2.94, 2 Ga 3.20, 2 Li 3.28
Li: 0.0000 0.1396 0.7500  5 Ga 2.73-2.92
Ga: 0.0000 0.3623 0.7500  1 Cu 2.59
Ga: 0.2135 0.0000 0.0000  2 Cu 2.46, 1 Ga 2.59, 2 Li 2.73
Cu: 0.0000 0.4406 0.2500  5 Ga 2.46-2.59


## SrLi2GaCu (PBE)

Data for SrLi2GaCu after structural relaxation.

Summary:
magnetic moment: 0.00 μB/cell
uncorrected energy: -2.602 eV per atom
excess energy over the best structure of this formula in the dataset: 0.16 eV/f.u.
formation energy: -0.075 eV/atom

a = 4.9195 Å, b = 4.9195 Å, c = 4.7063 Å
α = 90.00°, β = 90.00°, γ = 90.00°
With the nearest neighbours (Å) after each atom.
Space group P4/mmm (No. 123)
Asymmetric unit:
Sr: 0.0000 0.0000 0.0000  8 Li 3.40, 4 Cu 3.48
Li: 0.0000 0.5000 0.5000  2 Ga 2.46
Ga: 0.5000 0.5000 0.5000  2 Cu 2.35, 4 Li 2.46
Cu: 0.5000 0.5000 0.0000  2 Ga 2.35